1.
Computed, not measured: an optimized crystal structure of Li7Tl3Pb at the PBE level of DFT.

Lattice parameters (Å, degrees): 3.2509 10.8479 13.5907 90.00 90.00 98.62
Sites, in units of the cell vectors:
1 Li 0.5450 0.0899 0.0800
2 Pb 0.0198 0.0395 0.2500
3 Li 0.2608 0.5215 0.3976
4 Li 0.5828 0.1655 0.6459
5 Tl 0.1821 0.3642 0.7500
6 Tl 0.1446 0.2892 0.4909
7 Li 0.4172 0.8345 0.1459
8 Tl 0.8179 0.6358 0.2500
9 Tl 0.8554 0.7108 0.5091
10 Li 0.3462 0.6924 0.7500
11 Li 0.5828 0.1655 0.8541
12 Li 0.4172 0.8345 0.3541
13 Li 0.2608 0.5215 0.1024
14 Tl 0.1446 0.2892 0.0091
15 Li 0.4550 0.9101 0.9200
16 Li 0.7392 0.4785 0.6024
17 Li 0.5450 0.0899 0.4200
18 Pb 0.9802 0.9605 0.7500
19 Li 0.6538 0.3076 0.2500
20 Li 0.7392 0.4785 0.8976
21 Li 0.4550 0.9101 0.5800
22 Tl 0.8554 0.7108 0.9909

Energy above the most stable polymorph in this dataset, kJ/mol of formula units: 0
Calculated total energy, eV/cell: -52.1
Space-group type: Cmcm (63)



2.
Computed, not measured: an optimized crystal structure of TlGe2Ru2 at the PBE level of DFT.

Lattice parameters (Å, degrees): 7.5893 7.5893 2.9337 90.00 90.00 90.00
Sites, in units of the cell vectors:
1 Ru 0.1470 0.6470 0.5000
2 Ge 0.3612 0.8612 0.0000
3 Tl 0.0000 0.0000 0.0000
4 Ru 0.8530 0.3530 0.5000
5 Tl 0.5000 0.5000 0.0000
6 Ru 0.6470 0.8530 0.5000
7 Ge 0.6388 0.1388 0.0000
8 Ge 0.1388 0.3612 0.0000
9 Ge 0.8612 0.6388 0.0000
10 Ru 0.3530 0.1470 0.5000

Energy above the most stable polymorph in this dataset, kJ/mol of formula units: 60
Calculated total energy, eV/cell: -58.7
Space-group type: P4/mbm (127)



3.
Computed, not measured: an optimized crystal structure of AgBi3Te4 at the PBE level of DFT.

Lattice parameters (Å, degrees): 6.3465 8.8658 10.1258 90.00 90.00 90.00
Sites, in units of the cell vectors:
1 Te 0.0415 0.7534 0.0000
2 Bi 0.5774 0.3477 0.8185
3 Te 0.5479 0.6902 0.3111
4 Bi 0.0774 0.6523 0.6815
5 Bi 0.5698 0.6863 0.0000
6 Te 0.5536 0.0755 0.0000
7 Bi 0.5774 0.3477 0.1815
8 Te 0.5415 0.2466 0.5000
9 Te 0.0536 0.9245 0.5000
10 Te 0.0479 0.3098 0.1889
11 Bi 0.0698 0.3137 0.5000
12 Bi 0.0774 0.6523 0.3185
13 Ag 0.6000 0.9377 0.5000
14 Ag 0.1000 0.0623 0.0000
15 Te 0.5479 0.6902 0.6889
16 Te 0.0479 0.3098 0.8111

Formation energy from raw total energies, meV per atom: -71.3
Calculated total energy, eV/cell: -55.3
Space-group type: Pmn2_1 (31)



4.
Computed, not measured: an optimized crystal structure of Na4TcP2 at the PBE level of DFT.

Lattice parameters (Å, degrees): 5.7693 5.7693 7.9618 68.76 68.76 90.00
Sites, in units of the cell vectors:
1 Na 0.5000 0.0000 0.0000
2 P 0.4240 0.4240 0.1521
3 Na 0.0000 0.5000 0.0000
4 Na 0.7774 0.7774 0.4452
5 Na 0.2226 0.2226 0.5548
6 Tc 0.0000 0.0000 0.0000
7 P 0.5760 0.5760 0.8479

Calculated total energy, eV/cell: -21.4
Space-group type: I4/mmm (139)



5.
Computed, not measured: an optimized crystal structure of USiGe at the PBE level of DFT.

Lattice parameters (Å, degrees): 3.8473 4.0897 7.9123 75.02 90.00 90.00
Sites, in units of the cell vectors:
1 Ge 0.7500 0.7464 0.5072
2 U 0.2500 0.9009 0.1982
3 Si 0.2500 0.5505 0.8991
4 U 0.7500 0.0991 0.8018
5 Ge 0.2500 0.2536 0.4928
6 Si 0.7500 0.4495 0.1009

Energy above the most stable polymorph in this dataset, kJ/mol of formula units: 0
Formation energy from raw total energies, meV per atom: -191.1
Calculated total energy, eV/cell: -43.8
Space-group type: Cmcm (63)



6.
Computed, not measured: an optimized crystal structure of ThCd2Rh3 at the PBE level of DFT.

Lattice parameters (Å, degrees): 4.7534 4.7534 11.5060 90.00 90.00 120.00
Sites, in units of the cell vectors:
1 Rh 0.0000 0.0000 0.2425
2 Rh 0.0000 0.0000 0.7575
3 Rh 0.3333 0.6667 0.4222
4 Rh 0.6667 0.3333 0.5778
5 Cd 0.0000 0.0000 0.5000
6 Cd 0.6667 0.3333 0.8459
7 Rh 0.6667 0.3333 0.0892
8 Th 0.3333 0.6667 0.6743
9 Th 0.6667 0.3333 0.3257
10 Cd 0.3333 0.6667 0.1541
11 Rh 0.3333 0.6667 0.9108
12 Cd 0.0000 0.0000 0.0000

Calculated total energy, eV/cell: -68.5
Space-group type: P-3m1 (164)



7.
Computed, not measured: an optimized crystal structure of PmSm14Pu at the PBE level of DFT.

Lattice parameters (Å, degrees): 7.3335 7.3335 11.6220 90.00 90.00 119.94
Sites, in units of the cell vectors:
1 Sm 0.1627 0.3315 0.2469
2 Sm 0.3332 0.1670 0.5000
3 Sm 0.8332 0.1668 0.5000
4 Pm 0.3335 0.6665 0.0000
5 Sm 0.8342 0.6668 0.0000
6 Sm 0.3334 0.6666 0.5000
7 Sm 0.8330 0.6668 0.5000
8 Sm 0.6685 0.8373 0.7531
9 Sm 0.1627 0.3315 0.7531
10 Sm 0.6685 0.8373 0.2469
11 Sm 0.3332 0.1658 0.0000
12 Sm 0.6685 0.3315 0.2466
13 Pu 0.8339 0.1661 0.0000
14 Sm 0.1666 0.8334 0.7484
15 Sm 0.6685 0.3315 0.7534
16 Sm 0.1666 0.8334 0.2516

Calculated total energy, eV/cell: -84.3
Space-group type: Amm2 (38)



8.
Computed, not measured: an optimized crystal structure of SrYTm at the PBE level of DFT.

Lattice parameters (Å, degrees): 5.4727 3.7007 11.3515 80.62 90.00 90.00
Sites, in units of the cell vectors:
1 Tm 0.2500 0.4629 0.0742
2 Y 0.2500 0.0967 0.8067
3 Y 0.7500 0.9033 0.1933
4 Sr 0.7500 0.6971 0.6058
5 Tm 0.7500 0.5371 0.9258
6 Sr 0.2500 0.3029 0.3942

Energy above the most stable polymorph in this dataset, kJ/mol of formula units: 0
Calculated total energy, eV/cell: -24.6
Space-group type: Cmcm (63)



V list, top to bottom, in A^3/atom: 21.54 16.90 35.61 32.51 20.04 18.76 33.85 37.80